DFT (PBE-GGA) results for a relaxed structure of ZrCdCu2.

a = 7.186 Å, b = 7.186 Å, c = 5.859 Å
α = 52.18°, β = 52.18°, γ = 90.00°
Positions (direct):
Cu 0.119 0.625 0.250
Cd 0.750 0.250 0.500
Zr 0.500 0.500 0.000
Zr 0.250 0.750 0.500
Cu 0.631 0.125 0.250
Cd 0.000 0.000 0.000
Cu 0.375 0.369 0.750
Cu 0.875 0.881 0.750

Energy of formation from the pure elements: 0.3842 eV/atom
Total DFT energy (no corrections): -4.0297 eV/atom
ρ: 7.29 g cm⁻³
Calculated volume: 75.3 Å³/f.u.
N(E_F): 1.1190 states/eV per atom
SG: I-42d